[1]
Here is crystalline InGaCu at its relaxed geometry from Alexandria. Energies are from PBE-GGA.

Geometry as extended XYZ:
```
3
Lattice="-0.0601 -0.7475 -2.9398 -2.8211 -1.0667 0.3289 -0.7661 6.3322 -0.0288" Properties=species:S:1:pos:R:3 pbc="T T T"
In -0.0631 0.1552 -0.0382
Cu -2.2299 1.0332 -1.7827
Ga -1.3544 3.3296 -0.8189
```

Results
- E_tot: -0.1179 Ha/atom
- Fermi-level density of states: 1.0 states/eV/f.u.
- Magnetic moment: 0.000 μB/atom
- Energy of formation: 0.0802 eV/atom
- V: 18.43 A^3/atom

---

[2]
Here is crystalline ZrO at its relaxed geometry from Alexandria. Energies are from PBE-GGA.

Geometry as extended XYZ:
```
12
Lattice="8.2764 0.0000 0.0000 -4.1382 7.1676 0.0000 0.0000 0.0000 3.5993" Properties=species:S:1:pos:R:3 pbc="T T T"
O 5.0586 0.2620 0.8998
O -0.9204 6.9056 2.6995
O 1.8358 2.6557 0.8998
O -1.3820 2.9177 2.6995
O 5.5202 4.2499 0.8998
O 2.3024 4.5119 2.6995
Zr 0.7064 2.9885 2.6995
Zr 1.1969 6.2851 2.6995
Zr 6.0415 2.1060 0.8998
Zr -1.9032 5.0616 2.6995
Zr 3.4319 4.1791 0.8998
Zr 2.9413 0.8825 0.8998
```

Results
- E_tot: -0.3298 Ha/atom
- Fermi-level density of states: 1.8 states/eV/f.u.
- Formation energy without anion corrections: -2221 meV per atom
- Magnetic moment: 0.000 μB/atom
- V: 17.79 A^3/atom

---

[3]
Here is crystalline PIrAu2 at its relaxed geometry from Alexandria. Energies are from PBE-GGA.

Geometry as extended XYZ:
```
4
Lattice="4.6116 0.0000 0.0000 0.0000 3.7844 0.0000 0.0000 0.0000 3.7844" Properties=species:S:1:pos:R:3 pbc="T T T"
Ir 2.3058 1.8922 0.0000
Au 0.0000 1.8922 1.8922
Au 0.0000 0.0000 0.0000
P 2.3058 0.0000 1.8922
```

Results
- E_tot: -0.1726 Ha/atom
- Fermi-level density of states: 3.1 states/eV/f.u.
- Magnetic moment: 0.000 μB/atom
- Energy of formation: 0.5099 eV/atom
- V: 16.51 A^3/atom

---

[4]
Here is crystalline Pu3MgRh2 at its relaxed geometry from Alexandria. Energies are from PBE-GGA.

Geometry as extended XYZ:
```
12
Lattice="-4.1811 -0.4338 0.5237 3.2031 -7.7874 1.9898 0.0843 5.3188 5.0790" Properties=species:S:1:pos:R:3 pbc="T T T"
Mg 0.2627 -1.6190 0.7559
Mg -1.1564 -1.2834 6.8366
Rh 0.6348 0.5673 5.5381
Rh 1.1590 -3.4965 6.3566
Rh -1.5285 -3.4697 2.0543
Rh -2.0527 0.5941 1.2359
Pu -1.0913 -4.0951 5.0270
Pu 0.8688 -4.4053 3.2871
Pu 0.6835 -1.8620 3.9146
Pu 0.1976 1.1927 2.5655
Pu -1.7625 1.5029 4.3054
Pu -1.5772 -1.0404 3.6778
```

Results
- E_tot: -0.3686 Ha/atom
- Fermi-level density of states: 12.5 states/eV/f.u.
- Magnetic moment: 0.173 μB/atom
- Energy of formation: -0.1487 eV/atom
- V: 18.82 A^3/atom